## Na2SrPb2 (PBE-GGA)

Data for an optimized crystal structure of Na2SrPb2.

POSCAR file:
```
Na2SrPb2
1.0
-2.8415 -1.2024 -8.5074
6.8908 -5.6712 -1.5000
-2.3055 -3.1216 1.2112
Pb Na Sr
4 4 2
direct
0.1265 0.3735 0.0000
0.6265 0.1265 0.0000
0.3735 0.8735 0.0000
0.8735 0.6265 0.0000
0.6654 0.8346 0.5000
0.1654 0.6654 0.5000
0.3346 0.1654 0.5000
0.8346 0.3346 0.5000
0.5000 0.5000 0.0000
0.0000 0.0000 0.0000
```

Values from the calculation:
ΔE to the lowest computed polymorph: 0.078 eV per atom
energy relative to the elements: -0.194 eV/atom

---

## CuCF3 (PBE-GGA)

Data for an optimized crystal structure of CuCF3.

POSCAR file:
```
CuCF3
1.0
-2.1042 3.1490 -0.0813
-2.7653 -1.8934 -1.7659
-1.5086 -0.9215 3.3504
C F Cu
1 3 1
direct
0.0000 0.0000 0.0000
0.0000 0.5000 0.0000
0.0000 0.0000 0.5000
0.5000 0.0000 0.0000
0.5000 0.5000 0.5000
```

Values from the calculation:
ΔE to the lowest computed polymorph: 0.000 eV per atom
energy relative to the elements, uncorrected: 59.3 kJ/mol of formula units

---

## Tl3PtW (PBE-GGA)

Data for an optimized crystal structure of Tl3PtW.

POSCAR file:
```
Tl3PtW
1.0
-1.5602 -1.6173 -4.8454
-3.5197 -3.3314 2.2453
-3.7021 3.8489 -0.0926
W Tl Pt
1 3 1
direct
0.0000 0.0000 0.0000
0.5000 0.0000 0.0000
0.0000 0.0000 0.5000
0.0000 0.5000 0.0000
0.5000 0.5000 0.5000
```

Values from the calculation:
ΔE to the lowest computed polymorph: 0.121 eV per atom
energy relative to the elements: 1.343 eV/atom

---

## Dy3BIr3Rh2 (PBE-GGA)

Data for an optimized crystal structure of Dy3BIr3Rh2.

POSCAR file:
```
Dy3BIr3Rh2
1.0
-1.2823 -0.2495 3.0822
-0.4968 -7.2113 -0.7905
6.0495 2.9473 2.7553
B Ir Rh Dy
1 3 2 3
direct
0.0000 0.0000 0.0000
0.5000 0.2202 0.2202
0.5000 0.7798 0.0000
0.5000 0.0000 0.7798
0.5000 0.3333 0.6667
0.5000 0.6667 0.3333
0.0000 0.3939 0.0000
0.0000 0.6061 0.6061
0.0000 0.0000 0.3939
```

Values from the calculation:
energy relative to the elements: -0.668 eV/atom

---

## SmCd5Pt (PBE-GGA)

Data for an optimized crystal structure of SmCd5Pt.

POSCAR file:
```
SmCd5Pt
1.0
-2.9467 -0.0327 3.7867
1.8559 -4.1948 1.4080
4.9581 3.4987 3.8885
Cd Pt Sm
5 1 1
direct
0.0000 0.5000 0.7045
0.0000 0.5000 0.2955
0.5000 0.0000 0.2955
0.5000 0.5000 0.0000
0.5000 0.0000 0.7045
0.0000 0.0000 0.5000
0.0000 0.0000 0.0000
```

Values from the calculation:
energy relative to the elements: -0.320 eV/atom

---

## RbLi2Sc (PBE-GGA)

Data for an optimized crystal structure of RbLi2Sc.

POSCAR file:
```
RbLi2Sc
1.0
-3.4564 -4.5022 0.7816
-5.4919 0.2916 -1.6066
-1.8300 -3.0236 -4.5096
Sc Rb Li
1 1 2
direct
0.0000 0.0000 0.0000
0.5000 0.5000 0.5000
0.2500 0.2500 0.2500
0.7500 0.7500 0.7500
```

Values from the calculation:
ΔE to the lowest computed polymorph: 0.000 eV per atom
energy relative to the elements: 0.580 eV/atom

---

Going through the records in order, we get E values of -12.71 -18.32 -19.38 -67.78 -17.57 -8.81 eV/f.u..